# 1
# PBE Ba4TaPb, relaxed
# Fermi-level density of states: 5.07 states/eV/f.u.
# Energy relative to the elements: 0.926 eV per atom
# E_tot: -70.79 eV for the cell shown
data_Ba4TaPb
_cell_length_a 10.010
_cell_length_b 10.010
_cell_length_c 10.010
_cell_angle_alpha 90.00
_cell_angle_beta 90.00
_cell_angle_gamma 90.00
_symmetry_space_group_name_H-M 'F -4 3 m'
_symmetry_Int_Tables_number 216
_symmetry_space_group_name_Hall 'F -4 2 3'
loop_
_atom_site_label
_atom_site_fract_x
_atom_site_fract_y
_atom_site_fract_z
Ba1 0.125 0.125 0.125
Ta1 0.000 0.000 0.500
Pb1 0.250 0.250 0.750

# 2
# PBE BaTa2Pb, relaxed
# Fermi-level density of states: 4.02 states/eV/f.u.
# Energy relative to the elements: 1.133 eV per atom
# E_tot: -49.61 eV for the cell shown
data_BaTa2Pb
_cell_length_a 4.531
_cell_length_b 4.531
_cell_length_c 9.810
_cell_angle_alpha 90.00
_cell_angle_beta 90.00
_cell_angle_gamma 90.00
_symmetry_space_group_name_H-M 'I 4/m m m'
_symmetry_Int_Tables_number 139
_symmetry_space_group_name_Hall '-I 4 2'
loop_
_atom_site_label
_atom_site_fract_x
_atom_site_fract_y
_atom_site_fract_z
Ba1 0.000 0.000 0.000
Ta1 0.000 0.500 0.250
Pb1 0.000 0.000 0.500

# 3
# PBE Ba2Ta2Pb, relaxed
# Fermi-level density of states: 5.85 states/eV/f.u.
# Energy relative to the elements: 1.284 eV per atom
# E_tot: -49.67 eV for the cell shown
data_Ba2Ta2Pb
_cell_length_a 4.879
_cell_length_b 4.879
_cell_length_c 14.462
_cell_angle_alpha 90.00
_cell_angle_beta 90.00
_cell_angle_gamma 90.00
_symmetry_space_group_name_H-M 'I 4/m m m'
_symmetry_Int_Tables_number 139
_symmetry_space_group_name_Hall '-I 4 2'
loop_
_atom_site_label
_atom_site_fract_x
_atom_site_fract_y
_atom_site_fract_z
Ba1 0.000 0.500 0.250
Ta1 0.000 0.000 0.077
Pb1 0.000 0.000 0.500

# 4
# PBE BaTa2Pb, relaxed
# Fermi-level density of states: 4.07 states/eV/f.u.
# Energy relative to the elements: 0.519 eV per atom
# E_tot: -54.52 eV for the cell shown
data_BaTa2Pb
_cell_length_a 3.818
_cell_length_b 5.211
_cell_length_c 10.358
_cell_angle_alpha 90.00
_cell_angle_beta 90.00
_cell_angle_gamma 90.00
_symmetry_space_group_name_H-M 'C m m 2'
_symmetry_Int_Tables_number 35
_symmetry_space_group_name_Hall 'C 2 -2'
loop_
_atom_site_label
_atom_site_fract_x
_atom_site_fract_y
_atom_site_fract_z
Ba1 0.000 0.000 0.000
Ta1 0.000 0.000 0.528
Ta2 0.000 0.500 0.713
Pb1 0.000 0.500 0.301

# 5
# PBE Ba3TaPb, relaxed
# Fermi-level density of states: 5.26 states/eV/f.u.
# Energy relative to the elements: 0.759 eV per atom
# E_tot: -17.54 eV for the cell shown
data_Ba3TaPb
_cell_length_a 6.073
_cell_length_b 6.073
_cell_length_c 6.073
_cell_angle_alpha 90.00
_cell_angle_beta 90.00
_cell_angle_gamma 90.00
_symmetry_space_group_name_H-M 'P m -3 m'
_symmetry_Int_Tables_number 221
_symmetry_space_group_name_Hall '-P 4 2 3'
loop_
_atom_site_label
_atom_site_fract_x
_atom_site_fract_y
_atom_site_fract_z
Ba1 0.000 0.000 0.500
Ta1 0.000 0.000 0.000
Pb1 0.500 0.500 0.500

# 6
# PBE BaTa2Pb, relaxed
# Fermi-level density of states: 4.23 states/eV/f.u.
# Energy relative to the elements: 0.353 eV per atom
# E_tot: -27.93 eV for the cell shown
data_BaTa2Pb
_cell_length_a 3.618
_cell_length_b 3.618
_cell_length_c 8.326
_cell_angle_alpha 90.00
_cell_angle_beta 90.00
_cell_angle_gamma 90.00
_symmetry_space_group_name_H-M 'P 4 m m'
_symmetry_Int_Tables_number 99
_symmetry_space_group_name_Hall 'P 4 -2'
loop_
_atom_site_label
_atom_site_fract_x
_atom_site_fract_y
_atom_site_fract_z
Ba1 0.000 0.000 0.000
Ta1 0.000 0.000 0.557
Ta2 0.500 0.500 0.681
Pb1 0.500 0.500 0.323

- The lowest energy relative to the elements belongs to which entry?
  number 6